LiCu2Rh | Alexandria via LeMat-Bulk | PBE | optimized geometry; energy relative to the elements = -18 meV/atom; symmetry = F-43m, No. 216; density of states at the Fermi level = 2.15 states/eV per cell
1.0
-1.1978 3.8845 0.7643
-3.3618 0.7126 2.3020
0.3942 1.5752 3.8042
Li Rh Cu
1 1 2
Direct
0.5000 0.5000 0.5000
0.7500 0.7500 0.7500
0.0000 0.0000 0.0000
0.2500 0.2500 0.2500